1.
! PBE NpHgPd6, optimized geometry; values from VASP
! SG = P4/mmm
! E = -5.879 eV per atom
! ΔE_f = -2.63 eV/f.u.
&SYSTEM
  ibrav = 0, nat = 8, ntyp = 3
/
ATOMIC_SPECIES
Np 237.00 Np.upf
Hg 200.59 Hg.upf
Pd 106.42 Pd.upf
ATOMIC_POSITIONS crystal
Np 0.000 0.000 0.000
Hg 0.000 0.000 0.500
Pd 0.000 0.500 0.245
Pd 0.000 0.500 0.755
Pd 0.500 0.000 0.245
Pd 0.500 0.000 0.755
Pd 0.500 0.500 0.000
Pd 0.500 0.500 0.500
CELL_PARAMETERS angstrom
4.102 0.000 0.000
0.000 4.102 0.000
0.000 0.000 8.157



2.
! PBE Sb2AsAu2, optimized geometry; values from VASP
! SG = P4/mbm
! Energy relative to the elements, uncorrected = 0.181 eV per atom
! E = -3.709 eV per atom
! Energy above the lowest structure with this stoichiometry = 0 meV per atom
&SYSTEM
  ibrav = 0, nat = 10, ntyp = 3
/
ATOMIC_SPECIES
Sb 121.76 Sb.upf
As 74.92 As.upf
Au 196.97 Au.upf
ATOMIC_POSITIONS crystal
Sb 0.173 0.327 0.000
Sb 0.327 0.827 0.000
Sb 0.673 0.173 0.000
Sb 0.827 0.673 0.000
As 0.000 0.000 0.500
As 0.500 0.500 0.500
Au 0.135 0.635 0.500
Au 0.365 0.135 0.500
Au 0.635 0.865 0.500
Au 0.865 0.365 0.500
CELL_PARAMETERS angstrom
7.488 0.000 0.000
0.000 7.488 0.000
0.000 0.000 4.045



3.
! PBE ScCdCuAu, optimized geometry; values from VASP
! SG = F-43m
! E = -4.043 eV per atom
! ΔE_f = -1.55 eV/f.u.
&SYSTEM
  ibrav = 0, nat = 4, ntyp = 4
/
ATOMIC_SPECIES
Sc 44.96 Sc.upf
Cd 112.41 Cd.upf
Cu 63.55 Cu.upf
Au 196.97 Au.upf
ATOMIC_POSITIONS crystal
Sc 0.000 0.000 0.000
Cd 0.500 0.500 0.500
Cu 0.250 0.250 0.250
Au 0.750 0.750 0.750
CELL_PARAMETERS angstrom
0.000 3.308 3.308
3.308 0.000 3.308
3.308 3.308 0.000